NaAlTe2: optimized geometry, PBE.

Computed properties:
* uncorrected formation energy: -0.672 eV/atom
* crystal system: tetragonal

Unit cell a=6.8758 b=6.8078 c=6.8078 alpha=75.23 beta=59.67 gamma=59.67
Sites, in units of the cell vectors:
Te 0.6733 0.1534 0.5000
Al 0.2500 0.5000 0.5000
Te 0.3267 0.8466 0.5000
Te 0.8267 0.5000 0.8466
Na 0.2500 0.0000 0.0000
Te 0.1733 0.5000 0.1534
Al 0.7500 0.5000 0.5000
Na 0.7500 0.0000 0.0000



NaTaRhSe2: optimized geometry, PBE.

Computed properties:
* uncorrected formation energy: 0.811 eV/atom
* crystal system: tetragonal

Unit cell a=4.8605 b=4.6901 c=4.8605 alpha=90.00 beta=90.00 gamma=90.00
Each line ends with the local moment (μB).
Sites, in units of the cell vectors:
Se 0.0000 0.0000 0.5000  -0.09
Rh 0.0000 0.0000 0.0000  -0.07
Ta 0.5000 0.5000 0.5000  1.95
Se 0.5000 0.0000 0.0000  -0.12
Na 0.0000 0.5000 0.0000  0.01



BeP2Pt: optimized geometry, PBE.

Computed properties:
* energy relative to the elements: -0.2 eV/f.u.
* crystal system: monoclinic

Unit cell a=3.1264 b=4.4273 c=4.5044 alpha=73.41 beta=90.00 gamma=90.00
Sites, in units of the cell vectors:
Pt 0.5000 0.2500 0.2500
Be 0.5000 0.7500 0.7500
P 0.0000 0.0400 0.9469
P 0.0000 0.4600 0.5531



InAsP2: optimized geometry, PBE.

Computed properties:
* energy relative to the elements: 2.2 eV/f.u.
* crystal system: orthorhombic

Unit cell a=3.0560 b=3.0560 c=9.0012 alpha=90.00 beta=90.00 gamma=112.48
Sites, in units of the cell vectors:
In 0.5000 0.5000 0.7500
P 0.0000 0.0000 0.4630
P 0.0000 0.0000 0.0370
As 0.5000 0.5000 0.2500



BiIrI3: optimized geometry, PBE.

Computed properties:
* uncorrected formation energy: 1.146 eV/atom
* crystal system: cubic

Unit cell a=6.1519 b=6.1519 c=6.1519 alpha=90.00 beta=90.00 gamma=90.00
Each line ends with the local moment (μB).
Sites, in units of the cell vectors:
I 0.5000 0.0000 0.0000  0.03
I 0.0000 0.0000 0.5000  0.04
Bi 0.0000 0.0000 0.0000  -0.11
I 0.0000 0.5000 0.0000  0.05
Ir 0.5000 0.5000 0.5000  2.63



no.,energy (eV per cell)
1,-28.07
2,-23.44
3,-20.81
4,-16.00
5,-11.66